Compound: Ho2AlZn3Pt4
Source: the Alexandria database
Functional: GGA-PBE
Structure: optimized geometry

Calculated values
Energy of formation   -0.8325 eV per atom
Magnetization   0.000 μB/atom
SG   P-4m2, No. 115
E   -4.921 eV/atom

Cell: 4.1435 4.1435 10.7310 Å, 90.00 90.00 90.00°
Sites, in units of the cell vectors:
1 Ho 0.0000 0.5000 0.2381
2 Ho 0.5000 0.0000 0.7619
3 Al 0.0000 0.0000 0.5000
4 Zn 0.0000 0.5000 0.8646
5 Zn 0.5000 0.0000 0.1354
6 Zn 0.5000 0.5000 0.5000
7 Pt 0.0000 0.0000 0.0000
8 Pt 0.0000 0.5000 0.6365
9 Pt 0.5000 0.0000 0.3635
10 Pt 0.5000 0.5000 0.0000